First-principles (PBE) data for a relaxed structure of Li2SnPb2, as listed in Alexandria.

abc: 8.5027 8.5027 3.3872
angles: 90.00 90.00 90.00
Element x y z (fractional)
Pb (0.3677, 0.8677, 0.0000)
Pb (0.8677, 0.6323, 0.0000)
Pb (0.6323, 0.1323, 0.0000)
Pb (0.1323, 0.3677, 0.0000)
Sn (0.0000, 0.0000, 0.0000)
Sn (0.5000, 0.5000, 0.0000)
Li (0.1683, 0.6683, 0.5000)
Li (0.6683, 0.8317, 0.5000)
Li (0.8317, 0.3317, 0.5000)
Li (0.3317, 0.1683, 0.5000)

ΔH_f (0 K) = -0.14 eV/atom
space group = P4/mbm
D(E_F) = 3.69 states/eV per cell
crystal system = tetragonal

---

First-principles (PBE) data for a relaxed structure of LaAlIn3, as listed in Alexandria.

abc: 6.0911 6.0911 6.0911
angles: 90.00 90.00 90.00
Element x y z (fractional)
In (0.0000, 0.5000, 0.0000)
In (0.0000, 0.0000, 0.5000)
In (0.5000, 0.0000, 0.0000)
Al (0.5000, 0.5000, 0.5000)
La (0.0000, 0.0000, 0.0000)

ΔH_f (0 K) = 0.88 eV/atom
space group = Pm-3m
D(E_F) = 4.08 states/eV per cell
crystal system = cubic

---

First-principles (PBE) data for a relaxed structure of NdTmCd, as listed in Alexandria.

abc: 3.6346 3.6346 7.0612
angles: 104.91 104.91 90.00
Element x y z (fractional)
Tm (0.3193, 0.3193, 0.6386)
Nd (0.0063, 0.0063, 0.0127)
Cd (0.6744, 0.6744, 0.3488)

ΔH_f (0 K) = -0.19 eV/atom
space group = I4mm
D(E_F) = 3.79 states/eV per cell
crystal system = tetragonal

---

First-principles (PBE) data for a relaxed structure of Ba4Sr6Ca, as listed in Alexandria.

abc: 6.8514 6.8317 30.9713
angles: 90.00 90.00 120.10
Element x y z (fractional)
Ba (0.8343, 0.6687, 0.5433)
Ba (0.4977, 0.9954, 0.1278)
Ba (0.1657, 0.3313, 0.4567)
Ba (0.5023, 0.0046, 0.8722)
Ba (0.8343, 0.6687, 0.9567)
Ba (0.1657, 0.3313, 0.0433)
Ba (0.5023, 0.0046, 0.6278)
Ba (0.4977, 0.9954, 0.3722)
Sr (0.5000, 0.0000, 0.0000)
Sr (0.5000, 0.0000, 0.5000)
Sr (0.1631, 0.3262, 0.3161)
Sr (0.8369, 0.6738, 0.6839)
Sr (0.8369, 0.6738, 0.8161)
Sr (0.1631, 0.3262, 0.1839)
Sr (0.8315, 0.6631, 0.3985)
Sr (0.1685, 0.3369, 0.6015)
Sr (0.1685, 0.3369, 0.8985)
Sr (0.8315, 0.6631, 0.1015)
Sr (0.4952, 0.9903, 0.2500)
Sr (0.5048, 0.0097, 0.7500)
Ca (0.8289, 0.6577, 0.2500)
Ca (0.1711, 0.3423, 0.7500)

ΔH_f (0 K) = 0.07 eV/atom
space group = Cmcm
D(E_F) = 37.36 states/eV per cell
crystal system = orthorhombic

---

First-principles (PBE) data for a relaxed structure of Tc2NiRh, as listed in Alexandria.

abc: 4.6116 4.6116 4.7063
angles: 81.59 81.59 33.51
Element x y z (fractional)
Ni (0.4980, 0.4980, 0.5040)
Rh (0.2520, 0.2520, 0.2550)
Tc (0.9970, 0.9970, 0.0003)
Tc (0.7531, 0.7531, 0.7408)

ΔH_f (0 K) = 0.01 eV/atom
space group = Cm
D(E_F) = 4.90 states/eV per cell
crystal system = monoclinic